Computed, not measured: Ac2Pr4Nd3 after structural relaxation at the PBE level of DFT.

```
18
Lattice="-9.095 -0.448 1.228 2.263 -1.885 -8.444 0.716 -8.693 2.133" Properties=species:S:1:pos:R:3 pbc="T T T"
Ac -4.346 -3.602 -0.055
Ac -6.176 -9.357 -3.995
Ac -1.770 -7.425 -5.028
Ac 0.061 -1.670 -1.088
Pr -7.313 -5.208 1.509
Pr -3.656 -2.329 -6.890
Pr 1.198 -5.819 -6.592
Pr -2.459 -8.697 1.806
Pr -6.584 -2.485 -2.719
Pr -4.240 -6.810 -2.231
Pr 0.468 -8.542 -2.364
Pr -1.875 -4.217 -2.853
Nd 1.490 -5.289 -3.155
Nd -3.416 -1.167 -3.608
Nd -5.690 -7.980 0.592
Nd -4.864 -4.582 -4.740
Nd -0.425 -3.047 -5.676
Nd -1.251 -6.444 -0.343
```

E   -40.4 eV per formula unit
Symmetry   P2_1/c
Polymorph energy (0 for the lowest one)   63 meV/atom
Calculated density   7.0 g/cm3
Magnetization   0.00 μB per cell
Formation energy from the elements   0.14 eV/atom